(1)
DyBeAu | PBE-GGA | optimized geometry

abc: 6.1934 6.1934 6.1934
angles: 90.00 90.00 90.00
With the nearest neighbours (Å) after each atom.
Space group F-43m (No. 216)
Asymmetric unit:
1 Dy 0.0000 0.0000 0.0000 x4  4 Be 2.68
2 Be 0.2500 0.2500 0.7500 x4  4 Dy 2.68, 4 Au 2.68
3 Au 0.0000 0.0000 0.5000 x4  4 Be 2.68

The total magnetization is 0.1 μB per formula unit. The calculation puts the electronic total energy at -4.044 eV/atom.

---

(2)
DyBeAu | PBE-GGA | optimized geometry

abc: 6.5739 6.5739 6.5739
angles: 90.00 90.00 90.00
With the nearest neighbours (Å) after each atom.
Space group F-43m (No. 216)
Asymmetric unit:
1 Dy 0.0000 0.0000 0.0000 x4  4 Be 2.85, 4 Au 2.85
2 Be 0.2500 0.2500 0.2500 x4  4 Dy 2.85
3 Au 0.2500 0.2500 0.7500 x4  4 Dy 2.85

The total magnetization is 0.0 μB per formula unit. The calculation puts the electronic total energy at -3.571 eV/atom.

---

(3)
BeFe2Au | PBE-GGA | optimized geometry

abc: 5.8203 5.8203 5.8203
angles: 90.00 90.00 90.00
With the nearest neighbours (Å) after each atom.
Space group F-43m (No. 216)
Asymmetric unit:
1 Be 0.0000 0.0000 0.0000 x4  4 Fe 2.52, 4 Au 2.52
2 Fe 0.0000 0.0000 0.5000 x4  4 Au 2.52, 4 Fe 2.52
3 Fe 0.2500 0.2500 0.7500 x4  4 Fe 2.52, 4 Be 2.52
4 Au 0.2500 0.2500 0.2500 x4  4 Fe 2.52, 4 Be 2.52

The total magnetization is 4.8 μB per formula unit. The calculation puts the electronic total energy at -5.832 eV/atom.

---

(4)
BeFeGeAu | PBE-GGA | optimized geometry

abc: 5.9834 5.9834 5.9834
angles: 90.00 90.00 90.00
With the nearest neighbours (Å) after each atom.
Space group F-43m (No. 216)
Asymmetric unit:
1 Be 0.0000 0.0000 0.0000 x4  4 Fe 2.59, 4 Au 2.59
2 Fe 0.2500 0.2500 0.7500 x4  4 Ge 2.59, 4 Be 2.59
3 Ge 0.0000 0.0000 0.5000 x4  4 Fe 2.59, 4 Au 2.59
4 Au 0.2500 0.2500 0.2500 x4  4 Ge 2.59, 4 Be 2.59

The total magnetization is 1.8 μB per formula unit. The calculation puts the electronic total energy at -4.798 eV/atom.

---

(5)
BeFeGeAu | PBE-GGA | optimized geometry

abc: 6.0345 6.0345 6.0345
angles: 90.00 90.00 90.00
With the nearest neighbours (Å) after each atom.
Space group F-43m (No. 216)
Asymmetric unit:
1 Be 0.0000 0.0000 0.0000 x4  4 Ge 2.61, 4 Au 2.61
2 Fe 0.0000 0.0000 0.5000 x4  4 Au 2.61, 4 Ge 2.61
3 Ge 0.2500 0.2500 0.2500 x4  4 Fe 2.61, 4 Be 2.61
4 Au 0.2500 0.2500 0.7500 x4  4 Be 2.61, 4 Fe 2.61

The total magnetization is 2.1 μB per formula unit. The calculation puts the electronic total energy at -4.740 eV/atom.

---

(6)
BeInFeAu | PBE-GGA | optimized geometry

abc: 6.2439 6.2439 6.2439
angles: 90.00 90.00 90.00
With the nearest neighbours (Å) after each atom.
Space group F-43m (No. 216)
Asymmetric unit:
1 Be 0.0000 0.0000 0.0000 x4  4 Fe 2.70, 4 Au 2.70
2 In 0.0000 0.0000 0.5000 x4  4 Fe 2.70, 4 Au 2.70
3 Fe 0.2500 0.2500 0.7500 x4  4 In 2.70, 4 Be 2.70
4 Au 0.2500 0.2500 0.2500 x4  4 In 2.70, 4 Be 2.70

The total magnetization is 2.1 μB per formula unit. The calculation puts the electronic total energy at -4.256 eV/atom.

---

(7)
BeFePbAu | PBE-GGA | optimized geometry

abc: 6.4217 6.4217 6.4217
angles: 90.00 90.00 90.00
With the nearest neighbours (Å) after each atom.
Space group F-43m (No. 216)
Asymmetric unit:
1 Be 0.0000 0.0000 0.0000 x4  4 Pb 2.78, 4 Au 2.78
2 Fe 0.0000 0.0000 0.5000 x4  4 Pb 2.78, 4 Au 2.78
3 Pb 0.2500 0.2500 0.2500 x4  4 Fe 2.78, 4 Be 2.78
4 Au 0.2500 0.2500 0.7500 x4  4 Fe 2.78, 4 Be 2.78

The total magnetization is 2.4 μB per formula unit. The calculation puts the electronic total energy at -4.251 eV/atom.

---

(8)
BeFeReAu | PBE-GGA | optimized geometry

abc: 5.8712 5.8712 5.8712
angles: 90.00 90.00 90.00
With the nearest neighbours (Å) after each atom.
Space group F-43m (No. 216)
Asymmetric unit:
1 Be 0.0000 0.0000 0.0000 x4  4 Re 2.54, 4 Au 2.54
2 Fe 0.0000 0.0000 0.5000 x4  4 Re 2.54, 4 Au 2.54
3 Re 0.2500 0.2500 0.2500 x4  4 Fe 2.54, 4 Be 2.54
4 Au 0.2500 0.2500 0.7500 x4  4 Fe 2.54, 4 Be 2.54

The total magnetization is 0.0 μB per formula unit. The calculation puts the electronic total energy at -6.666 eV/atom.

---

(9)
BeFeReAu | PBE-GGA | optimized geometry

abc: 5.9993 5.9993 5.9993
angles: 90.00 90.00 90.00
With the nearest neighbours (Å) after each atom.
Space group F-43m (No. 216)
Asymmetric unit:
1 Be 0.0000 0.0000 0.0000 x4  4 Fe 2.60, 4 Re 2.60
2 Fe 0.2500 0.2500 0.2500 x4  4 Be 2.60, 4 Au 2.60
3 Re 0.2500 0.2500 0.7500 x4  4 Be 2.60, 4 Au 2.60
4 Au 0.0000 0.0000 0.5000 x4  4 Fe 2.60, 4 Re 2.60

The total magnetization is 0.9 μB per formula unit. The calculation puts the electronic total energy at -6.346 eV/atom.

---

(10)
BeFeSiAu | PBE-GGA | optimized geometry

abc: 5.8936 5.8936 5.8936
angles: 90.00 90.00 90.00
With the nearest neighbours (Å) after each atom.
Space group F-43m (No. 216)
Asymmetric unit:
1 Be 0.0000 0.0000 0.0000 x4  4 Si 2.55, 4 Au 2.55
2 Fe 0.0000 0.0000 0.5000 x4  4 Si 2.55, 4 Au 2.55
3 Si 0.2500 0.2500 0.2500 x4  4 Fe 2.55, 4 Be 2.55
4 Au 0.2500 0.2500 0.7500 x4  4 Be 2.55, 4 Fe 2.55

The total magnetization is 1.7 μB per formula unit. The calculation puts the electronic total energy at -4.987 eV/atom.

---

(11)
BeFeSiAu | PBE-GGA | optimized geometry

abc: 5.8006 5.8006 5.8006
angles: 90.00 90.00 90.00
With the nearest neighbours (Å) after each atom.
Space group F-43m (No. 216)
Asymmetric unit:
1 Be 0.0000 0.0000 0.0000 x4  4 Fe 2.51, 4 Au 2.51
2 Fe 0.2500 0.2500 0.7500 x4  4 Be 2.51, 4 Si 2.51
3 Si 0.0000 0.0000 0.5000 x4  4 Fe 2.51, 4 Au 2.51
4 Au 0.2500 0.2500 0.2500 x4  4 Si 2.51, 4 Be 2.51

The total magnetization is 1.5 μB per formula unit. The calculation puts the electronic total energy at -5.160 eV/atom.

---

(12)
BeTlFeAu | PBE-GGA | optimized geometry

abc: 6.3311 6.3311 6.3311
angles: 90.00 90.00 90.00
With the nearest neighbours (Å) after each atom.
Space group F-43m (No. 216)
Asymmetric unit:
1 Be 0.0000 0.0000 0.0000 x4  4 Tl 2.74, 4 Au 2.74
2 Tl 0.2500 0.2500 0.2500 x4  4 Fe 2.74, 4 Be 2.74
3 Fe 0.0000 0.0000 0.5000 x4  4 Au 2.74, 4 Tl 2.74
4 Au 0.2500 0.2500 0.7500 x4  4 Fe 2.74, 4 Be 2.74

The total magnetization is 2.6 μB per formula unit. The calculation puts the electronic total energy at -3.954 eV/atom.